1.
Here is a geometry-optimized TmMgGa structure from Alexandria via LeMat-Bulk. Energies are from PBE-GGA.

The space group is P-6m2 (No. 187) and the conventional cell measures 4.6655, 4.6655 and 3.5253 Å, with angles of 90.00, 90.00 and 120.00 degrees. The asymmetric unit holds Tm at (0.0000, 0.0000, 0.0000), Mg at (0.3333, 0.6667, 0.5000) and Ga at (0.6667, 0.3333, 0.5000).

The calculation puts the energy of formation at -352 meV per atom. The value obtained for the total energy is -10.15 eV per formula unit.


2.
Here is a geometry-optimized CaSb2P structure from Alexandria via LeMat-Bulk. Energies are from PBE-GGA.

The space group is Cm (No. 8) and the conventional cell measures 11.8818, 3.6193 and 5.1884 Å, with angles of 90.00, 95.94 and 90.00 degrees. The asymmetric unit holds Ca at (0.0000, 0.0000, 0.0000), Sb at (0.0679, 0.5000, 0.5191), Sb at (0.3025, 0.5000, 0.4306) and P at (0.2826, 0.0000, 0.0790).

The value obtained for the total energy is -17.02 eV per formula unit. The calculation puts the uncorrected formation energy at -0.340 eV/atom.


3.
Here is a geometry-optimized Mo2PbAu structure from Alexandria via LeMat-Bulk. Energies are from PBE-GGA.

The space group is Cm (No. 8) and the conventional cell measures 9.9512, 3.2399 and 4.9588 Å, with angles of 90.00, 107.15 and 90.00 degrees. The asymmetric unit holds Mo at (0.0000, 0.0000, 0.0000), Mo at (0.1959, 0.5000, 0.1829), Pb at (0.2304, 0.0000, 0.7090) and Au at (0.4610, 0.0000, 0.4484).

The calculation puts the energy of formation at 485 meV per atom. The value obtained for the total energy is -26.71 eV per formula unit.


4.
Here is a geometry-optimized Dy4AsPb2Se structure from Alexandria via LeMat-Bulk. Energies are from PBE-GGA.

The space group is P2/m (No. 10) and the conventional cell measures 7.0023, 4.0610 and 8.0376 Å, with angles of 90.00, 107.07 and 90.00 degrees. The asymmetric unit holds Dy at (0.2354, 0.0000, 0.2150), Dy at (0.2568, 0.5000, 0.7822), As at (0.0000, 0.5000, 0.0000), Pb at (0.0000, 0.0000, 0.5000), Pb at (0.5000, 0.5000, 0.5000) and Se at (0.5000, 0.0000, 0.0000).

The value obtained for the total energy is -42.38 eV per formula unit. The calculation puts the uncorrected formation energy at -1.053 eV/atom.


5.
Here is a geometry-optimized BaSeF structure from Alexandria via LeMat-Bulk. Energies are from PBE-GGA.

The space group is P-1 (No. 2) and the conventional cell measures 4.4915, 5.5280 and 7.7138 Å, with angles of 103.62, 94.28 and 103.37 degrees. The asymmetric unit holds Ba at (0.1821, 0.3836, 0.2577), Se at (0.4484, 0.1022, 0.8831) and F at (0.2416, 0.4134, 0.6020).

The value obtained for the total energy is -14.93 eV per formula unit. The calculation puts the uncorrected formation energy at -2.552 eV/atom.


6.
Here is a geometry-optimized RbIn3Sn2 structure from Alexandria via LeMat-Bulk. Energies are from PBE-GGA.

The space group is Cmcm (No. 63) and the conventional cell measures 12.0696, 10.2049 and 6.7121 Å, with angles of 90.00, 90.00 and 90.00 degrees. The asymmetric unit holds Rb at (0.0000, 0.1739, 0.2500), In at (0.0000, 0.4413, 0.7500), In at (0.1743, 0.2238, 0.7500) and Sn at (0.2186, 0.5000, 0.0000).

The calculation puts the energy of formation at -34 meV per atom. The value obtained for the total energy is -17.39 eV per formula unit.